{
  "formula": "LiNdSmRe",
  "functional": "PBE",
  "state": "relaxed",
  "lattice_angstrom": [[-4.6229, -1.9362, -0.4481], [-0.9818, -4.6053, 1.7743], [-2.8986, -0.5612, 4.0748]],
  "species": ["Re", "Nd", "Sm", "Li"],
  "frac_coords": [[0.2500, 0.2500, 0.2500], [0.0000, 0.0000, 0.0000], [0.5000, 0.5000, 0.5000], [0.7500, 0.7500, 0.7500]],
  "e_tot_ev_per_atom": -5.81,
  "magmom_total_mub_per_fu": 0.0
}